Density functional theory data (PBE) for a relaxed WCl2 crystal.

ΔE_f (raw) (eV/atom): -0.332
Crystal system: monoclinic
DOS(E_F) (states/eV per cell): 6.16
V (A^3/atom): 27.94
Total moment (μB/f.u.): 0.0

abc: 14.684 3.014 9.130
angles: 90.00 123.90 90.00
Space group C2/m (No. 12)
Unique sites:
W1 0.196 0.000 0.356 x4
Cl1 0.041 0.500 0.266 x4
Cl2 0.227 0.000 0.760 x4

---

Density functional theory data (PBE) for a relaxed LaNd2Tm9 crystal.

Crystal system: tetragonal
DOS(E_F) (states/eV per cell): 18.28
V (A^3/atom): 31.49
Total moment (μB/f.u.): 0.0

abc: 5.012 5.012 15.044
angles: 90.00 90.00 90.00
Space group P4/mmm (No. 123)
Unique sites:
La1 0.000 0.000 0.000 x1
Nd1 0.000 0.000 0.333 x2
Tm1 0.000 0.500 0.169 x4
Tm2 0.000 0.500 0.500 x2
Tm3 0.500 0.500 0.000 x1
Tm4 0.500 0.500 0.334 x2

---

Density functional theory data (PBE) for a relaxed B2C crystal.

Crystal system: monoclinic
DOS(E_F) (states/eV per cell): 3.54
V (A^3/atom): 6.76
Total moment (μB/f.u.): 0.0

abc: 12.340 2.685 4.921
angles: 90.00 95.52 90.00
Space group Cm (No. 8)
Unique sites:
B1 0.000 0.000 0.000 x2
B2 0.009 0.500 0.518 x2
B3 0.074 0.000 0.346 x2
B4 0.109 0.500 0.866 x2
B5 0.142 0.500 0.525 x2
B6 0.277 0.500 0.554 x2
B7 0.334 0.000 0.797 x2
B8 0.440 0.500 0.321 x2
C1 0.149 0.000 0.016 x2
C2 0.274 0.000 0.087 x2
C3 0.315 0.500 0.241 x2
C4 0.466 0.000 0.844 x2

---

Density functional theory data (PBE) for a relaxed Re2PSe crystal.

ΔE_f (raw) (eV/atom): 0.387
Crystal system: tetragonal
DOS(E_F) (states/eV per cell): 12.95
V (A^3/atom): 17.01
Total moment (μB/f.u.): 0.0

abc: 4.233 4.233 15.188
angles: 90.00 90.00 90.00
Space group I-42d (No. 122)
Unique sites:
Re1 0.216 0.250 0.125 x8
P1 0.000 0.000 0.000 x4
Se1 0.000 0.000 0.500 x4

---

no.,excess energy over the best structure of this formula in the dataset (eV per atom)
1,0.398
2,0.000
3,0.174
4,0.358